Record 1
TbYHo2: relaxed, GGA-PBE.

Polymorph energy (0 for the lowest one): 0.016 eV/atom
Energy: -20.2 eV per cell
ΔE_f: 0.1 eV/f.u.
Magnetic moment: 0.000 μB/f.u.

Unit cell a=3.5447 b=3.5447 c=10.0336 alpha=90.00 beta=90.00 gamma=90.00
With the nearest neighbours (Å) after each atom.
Space group P4/mmm (No. 123)
Unique sites:
1 Tb 0.0000 0.0000 0.0000 x1  8 Ho 3.54, 4 Tb 3.54
2 Y 0.0000 0.0000 0.5000 x1  4 Y 3.54, 8 Ho 3.55
3 Ho 0.5000 0.5000 0.2489 x2  4 Tb 3.54, 4 Ho 3.54, 4 Y 3.55

***

Record 2
Tb4Y6Ho: relaxed, GGA-PBE.

Polymorph energy (0 for the lowest one): 0.000 eV/atom
Energy: -242.1 eV per cell
ΔE_f: 1.4 eV/f.u.
Magnetic moment: 0.000 μB/f.u.

Unit cell a=5.7102 b=9.6638 c=25.7306 alpha=90.00 beta=90.00 gamma=90.00
With the nearest neighbours (Å) after each atom.
Space group Cmcm (No. 63)
Unique sites:
1 Tb 0.0000 0.0249 0.1212 x8  5 Y 3.13-3.32
2 Tb 0.0000 0.3412 0.0426 x8  8 Y 3.42-3.80, 2 Tb 3.66-3.77
3 Y 0.0000 0.0000 0.0000 x4  8 Tb 3.13-3.47
4 Y 0.0000 0.0159 0.2500 x4  3 Ho 3.23-3.27, 2 Tb 3.32
5 Y 0.0000 0.3135 0.6047 x8  5 Tb 3.28-3.60
6 Y 0.0000 0.3523 0.1817 x8  7 Y 3.51-3.83, 4 Tb 3.53-3.65, 3 Ho 3.64-3.74
7 Ho 0.0000 0.3181 0.7500 x4  3 Y 3.23-3.27

***

Record 3
Tb5Y4Ho: relaxed, GGA-PBE.

Polymorph energy (0 for the lowest one): 0.000 eV/atom
Energy: -53.0 eV per cell
ΔE_f: 0.6 eV/f.u.
Magnetic moment: 0.003 μB/f.u.

Unit cell a=3.5644 b=6.8155 c=13.9339 alpha=82.41 beta=89.81 gamma=74.85
With the nearest neighbours (Å) after each atom.
Space group P-1 (No. 2)
Unique sites:
1 Tb 0.0000 0.0000 0.0000 x1  2 Ho 3.41, 2 Tb 3.56, 6 Y 3.58-3.80
2 Tb 0.0376 0.9168 0.3848 x2  4 Y 3.50-3.61, 8 Tb 3.53-3.63
3 Tb 0.3170 0.3746 0.4156 x2  3 Y 3.45-3.71, 9 Tb 3.52-3.63
4 Y 0.3178 0.3287 0.7897 x2  1 Ho 3.42, 5 Y 3.47-3.68, 5 Tb 3.54-3.80
5 Y 0.3759 0.2015 0.1925 x2  1 Ho 3.25, 4 Tb 3.45-3.58, 4 Y 3.47-3.56
6 Ho 0.5000 0.5000 0.0000 x1  4 Y 3.25-3.42, 2 Tb 3.41, 2 Ho 3.56